Record 1
## Nd2EuSi (PBE)

Data for a geometry-optimized Nd2EuSi structure.

Size of the total moment = 8.2 μB per cell
Formation energy without anion corrections = -0.084 eV/atom
Symmetry = R-3m
Relative energy among the computed polymorphs = 47 kJ/mol of formula units
Raw total energy = -25.57 eV/cell

Structure (POSCAR):
```
Nd2EuSi
1.0
-2.366 -3.287 -0.505
0.622 -3.332 2.275
-7.452 1.595 8.036
Eu Si Nd
1 1 2
Direct
0.000 0.000 0.000 Eu
0.500 0.500 0.500 Si
0.115 0.115 0.654 Nd
0.885 0.885 0.346 Nd
```

---

Record 2
## EuLuGa2 (PBE)

Data for a geometry-optimized EuLuGa2 structure.

Size of the total moment = 7.2 μB per cell
Symmetry = R-3m
Relative energy among the computed polymorphs = 85 kJ/mol of formula units
Formation energy = -0.31 eV per atom
Raw total energy = -22.07 eV/cell

Structure (POSCAR):
```
EuLuGa2
1.0
-0.546 -3.573 0.197
1.953 -2.246 -2.060
6.721 -2.532 5.955
Ga Lu Eu
2 1 1
Direct
0.254 0.254 0.237 Ga
0.746 0.746 0.763 Ga
0.000 0.000 0.000 Lu
0.500 0.500 0.500 Eu
```